1.
MgZrW4 | PBE | optimized geometry

Output
Theoretical density = 12.785 Mg/m³
Symmetry = No. 216
Formation energy = 19 kJ per mole of atoms
DOS(E_F) = 8.1 states/eV/f.u.
E = -60.79 eV for the cell shown

a b c (Å): 5.3866 5.3866 5.3866
angles (deg): 60.00 60.00 60.00
Closest atoms and distances in Å follow each position.
Fractional positions:
Mg  0.0000  0.0000  0.0000  12 W 3.16, 4 Zr 3.30
Zr  0.2500  0.2500  0.2500  12 W 3.16, 4 Mg 3.30
W  0.1228  0.6258  0.6258  6 W 2.68-2.71
W  0.6258  0.1228  0.6258  6 W 2.68-2.71
W  0.6258  0.6258  0.1228  6 W 2.68-2.71
W  0.6258  0.6258  0.6258  6 W 2.68-2.71



2.
KRb3Sn | PBE | optimized geometry

Output
Energy above the most stable polymorph in this dataset = 112 meV per atom
Theoretical density = 1.780 Mg/m³
Symmetry = No. 221
Formation energy = 8 kJ per mole of atoms
DOS(E_F) = 8.1 states/eV/f.u.
E = -7.60 eV for the cell shown

a b c (Å): 7.2843 7.2843 7.2843
angles (deg): 90.00 90.00 90.00
Closest atoms and distances in Å follow each position.
Fractional positions:
K  0.0000  0.0000  0.0000  12 Rb 5.15
Rb  0.0000  0.5000  0.5000  2 Sn 3.64
Rb  0.5000  0.0000  0.5000  2 Sn 3.64
Rb  0.5000  0.5000  0.0000  2 Sn 3.64
Sn  0.5000  0.5000  0.5000  6 Rb 3.64



3.
AcCe2Pm3Te6 | PBE | optimized geometry

Output
Theoretical density = 7.233 Mg/m³
Symmetry = No. 12
DOS(E_F) = 18.3 states/eV/f.u.
Formation energy without anion corrections = -136 kJ per mole of atoms
E = -65.97 eV for the cell shown

a b c (Å): 7.8095 7.8095 7.8726
angles (deg): 99.53 99.53 120.06
Closest atoms and distances in Å follow each position.
Fractional positions:
Ac  0.0000  0.0000  0.0000  6 Te 3.27-3.30
Ce  0.3322  0.6678  0.0000  6 Te 3.18-3.21
Ce  0.6678  0.3322  0.0000  6 Te 3.18-3.21
Pm  0.1585  0.8415  0.5000  6 Te 3.15-3.19
Pm  0.5000  0.5000  0.5000  6 Te 3.12-3.19
Pm  0.8415  0.1585  0.5000  6 Te 3.15-3.19
Te  0.0869  0.4298  0.2599  3 Pm 3.17-3.19, 2 Ce 3.20-3.21, 1 Ac 3.30
Te  0.2601  0.2601  0.7486  3 Pm 3.12-3.15, 2 Ce 3.18, 1 Ac 3.27
Te  0.4298  0.0869  0.2599  3 Pm 3.17-3.19, 2 Ce 3.20-3.21, 1 Ac 3.30
Te  0.5702  0.9131  0.7401  3 Pm 3.17-3.19, 2 Ce 3.20-3.21, 1 Ac 3.30
Te  0.7399  0.7399  0.2514  3 Pm 3.12-3.15, 2 Ce 3.18, 1 Ac 3.27
Te  0.9131  0.5702  0.7401  3 Pm 3.17-3.19, 2 Ce 3.20-3.21, 1 Ac 3.30



4.
Er6CdPd2 | PBE | optimized geometry

Output
Theoretical density = 9.465 Mg/m³
Symmetry = No. 71
Formation energy = -49 kJ per mole of atoms
DOS(E_F) = 9.3 states/eV/f.u.
E = -86.47 eV for the cell shown

a b c (Å): 8.4747 8.4747 8.4747
angles (deg): 112.74 110.81 104.96
Closest atoms and distances in Å follow each position.
Fractional positions:
Er  0.0414  0.2383  0.8030  1 Pd 2.84, 1 Cd 3.11
Er  0.1833  0.2883  0.4715  3 Pd 2.99-3.11, 1 Cd 3.23
Er  0.1833  0.7117  0.8950  3 Pd 2.99-3.11, 1 Cd 3.23
Er  0.3266  0.0279  0.7014  3 Pd 2.75-3.01
Er  0.3266  0.6252  0.2986  3 Pd 2.75-3.01
Er  0.4353  0.2383  0.1970  1 Pd 2.84, 1 Cd 3.11
Er  0.5647  0.7617  0.8030  1 Pd 2.84, 1 Cd 3.11
Er  0.6734  0.3748  0.7014  3 Pd 2.75-3.01
Er  0.6734  0.9721  0.2986  3 Pd 2.75-3.01
Er  0.8167  0.2883  0.1050  3 Pd 2.99-3.11, 1 Cd 3.23
Er  0.8167  0.7117  0.5285  3 Pd 2.99-3.11, 1 Cd 3.23
Er  0.9586  0.7617  0.1970  1 Pd 2.84, 1 Cd 3.11
Cd  0.0000  0.0000  0.0000  8 Er 3.11-3.23, 2 Pd 3.31
Cd  0.5000  0.5000  0.0000  12 Er 3.30-3.64
Pd  0.1333  0.6333  0.5000  6 Er 2.75-2.99, 1 Pd 2.75
Pd  0.3436  0.0000  0.3436  8 Er 2.84-3.11, 1 Pd 3.01
Pd  0.6564  0.0000  0.6564  8 Er 2.84-3.11, 1 Pd 3.01
Pd  0.8667  0.3667  0.5000  6 Er 2.75-2.99, 1 Pd 2.75



5.
Nd3Te2I2 | PBE | optimized geometry

Output
Theoretical density = 6.188 Mg/m³
Symmetry = No. 2
DOS(E_F) = 3.5 states/eV/f.u.
Formation energy without anion corrections = -130 kJ per mole of atoms
E = -33.12 eV for the cell shown

a b c (Å): 4.3946 7.6770 7.9707
angles (deg): 79.16 89.94 73.42
Closest atoms and distances in Å follow each position.
Fractional positions:
Nd  0.0000  0.0000  0.0000  4 Te 3.15, 2 I 3.27
Nd  0.2525  0.4933  0.7999  3 Te 3.11-3.19, 3 I 3.26-3.47
Nd  0.7475  0.5067  0.2001  3 Te 3.11-3.19, 3 I 3.26-3.47
Te  0.3909  0.2188  0.1625  5 Nd 3.11-3.19
Te  0.6091  0.7812  0.8375  5 Nd 3.11-3.19
I  0.1331  0.7349  0.3801  4 Nd 3.26-3.47
I  0.8669  0.2651  0.6199  4 Nd 3.26-3.47



6.
TbTmGaRh | PBE | optimized geometry

Output
Energy above the most stable polymorph in this dataset = 0 meV per atom
Theoretical density = 9.339 Mg/m³
Symmetry = No. 38
Formation energy = -72 kJ per mole of atoms
DOS(E_F) = 2.9 states/eV/f.u.
E = -22.46 eV for the cell shown

a b c (Å): 4.3366 5.6751 5.6751
angles (deg): 39.58 90.00 90.00
Closest atoms and distances in Å follow each position.
Fractional positions:
Tb  0.0000  0.0000  0.0000  4 Rh 2.99, 3 Ga 3.00-3.04
Tm  0.5000  0.2813  0.2813  3 Rh 2.96-3.08, 4 Ga 2.98
Ga  0.0000  0.7153  0.7153  2 Rh 2.67, 4 Tm 2.98
Rh  0.5000  0.5700  0.5700  2 Ga 2.67, 2 Tm 2.96



7.
Ho3ZnCd | PBE | optimized geometry

Output
Theoretical density = 8.636 Mg/m³
Symmetry = No. 63
Formation energy = -22 kJ per mole of atoms
DOS(E_F) = 6.4 states/eV/f.u.
E = -34.17 eV for the cell shown

a b c (Å): 10.2008 10.2008 5.1187
angles (deg): 90.00 90.00 150.95
Closest atoms and distances in Å follow each position.
Fractional positions:
Ho  0.0639  0.9361  0.7500  2 Zn 3.15, 2 Cd 3.16
Ho  0.2499  0.7501  0.7500  4 Cd 3.14, 4 Zn 3.15
Ho  0.4359  0.5641  0.7500  2 Zn 3.15, 2 Cd 3.16
Ho  0.5641  0.4359  0.2500  2 Zn 3.15, 2 Cd 3.16
Ho  0.7501  0.2499  0.2500  4 Cd 3.14, 4 Zn 3.15
Ho  0.9361  0.0639  0.2500  2 Zn 3.15, 2 Cd 3.16
Zn  0.1572  0.8428  0.2500  8 Ho 3.15
Zn  0.8428  0.1572  0.7500  8 Ho 3.15
Cd  0.3423  0.6577  0.2500  8 Ho 3.14-3.16
Cd  0.6577  0.3423  0.7500  8 Ho 3.14-3.16



8.
CaTi2I | PBE | optimized geometry

Output
Energy above the most stable polymorph in this dataset = 198 meV per atom
Theoretical density = 4.925 Mg/m³
Symmetry = No. 225
DOS(E_F) = 7.9 states/eV/f.u.
Formation energy without anion corrections = 70 kJ per mole of atoms
E = -16.44 eV for the cell shown

a b c (Å): 5.0036 5.0036 5.0036
angles (deg): 60.00 60.00 60.00
Closest atoms and distances in Å follow each position.
Fractional positions:
Ca  0.0000  0.0000  0.0000  8 Ti 3.06
Ti  0.2500  0.2500  0.2500  4 I 3.06, 4 Ca 3.06
Ti  0.7500  0.7500  0.7500  4 I 3.06, 4 Ca 3.06
I  0.5000  0.5000  0.5000  8 Ti 3.06



9.
PaTlCl5 | PBE | optimized geometry

Output
Theoretical density = 3.761 Mg/m³
Symmetry = No. 15
DOS(E_F) = 1.4 states/eV/f.u.
Formation energy without anion corrections = -159 kJ per mole of atoms
E = -65.22 eV for the cell shown

a b c (Å): 7.6351 7.6351 10.7972
angles (deg): 109.54 109.54 70.42
Closest atoms and distances in Å follow each position.
Fractional positions:
Pa  0.0000  0.0000  0.0000  6 Cl 2.59-2.77
Pa  0.0000  0.0000  0.5000  6 Cl 2.59-2.77
Tl  0.4699  0.5301  0.7500  7 Cl 3.23-3.56
Tl  0.5301  0.4699  0.2500  7 Cl 3.23-3.56
Cl  0.0704  0.9296  0.7500  2 Pa 2.77
Cl  0.1393  0.2984  0.6185  1 Pa 2.59
Cl  0.2251  0.6549  0.0083  1 Pa 2.63
Cl  0.2984  0.1393  0.1185  1 Pa 2.59
Cl  0.3451  0.7749  0.4917  1 Pa 2.63
Cl  0.6549  0.2251  0.5083  1 Pa 2.63
Cl  0.7016  0.8607  0.8815  1 Pa 2.59
Cl  0.7749  0.3451  0.9917  1 Pa 2.63
Cl  0.8607  0.7016  0.3815  1 Pa 2.59
Cl  0.9296  0.0704  0.2500  2 Pa 2.77



10.
Co2Mo | PBE | optimized geometry

Output
Theoretical density = 8.046 Mg/m³
Symmetry = No. 205
Formation energy = 96 kJ per mole of atoms
DOS(E_F) = 3.2 states/eV/f.u.
E = -88.23 eV for the cell shown

a b c (Å): 5.6093 5.6093 5.6093
angles (deg): 90.00 90.00 90.00
Closest atoms and distances in Å follow each position.
Fractional positions:
Co  0.1178  0.1178  0.1178  1 Co 2.29, 3 Mo 2.34
Co  0.1178  0.3822  0.6178  1 Co 2.29, 3 Mo 2.34
Co  0.3822  0.6178  0.1178  1 Co 2.29, 3 Mo 2.34
Co  0.3822  0.8822  0.6178  1 Co 2.29, 3 Mo 2.34
Co  0.6178  0.1178  0.3822  1 Co 2.29, 3 Mo 2.34
Co  0.6178  0.3822  0.8822  1 Co 2.29, 3 Mo 2.34
Co  0.8822  0.6178  0.3822  1 Co 2.29, 3 Mo 2.34
Co  0.8822  0.8822  0.8822  1 Co 2.29, 3 Mo 2.34
Mo  0.0000  0.0000  0.5000  6 Co 2.34
Mo  0.0000  0.5000  0.0000  6 Co 2.34
Mo  0.5000  0.0000  0.0000  6 Co 2.34
Mo  0.5000  0.5000  0.5000  6 Co 2.34



11.
Cu2TcIr | PBE | optimized geometry

Output
Energy above the most stable polymorph in this dataset = 160 meV per atom
Theoretical density = 12.794 Mg/m³
Symmetry = No. 216
Formation energy = 19 kJ per mole of atoms
DOS(E_F) = 1.0 states/eV/f.u.
E = -26.64 eV for the cell shown

a b c (Å): 4.2469 4.2469 4.2469
angles (deg): 60.00 60.00 60.00
Closest atoms and distances in Å follow each position.
Fractional positions:
Cu  0.0000  0.0000  0.0000  4 Ir 2.60, 4 Cu 2.60
Cu  0.2500  0.2500  0.2500  4 Tc 2.60, 4 Cu 2.60
Tc  0.5000  0.5000  0.5000  4 Ir 2.60, 4 Cu 2.60
Ir  0.7500  0.7500  0.7500  4 Tc 2.60, 4 Cu 2.60



12.
Ce2SmSn | PBE | optimized geometry

Output
Energy above the most stable polymorph in this dataset = 255 meV per atom
Theoretical density = 7.833 Mg/m³
Symmetry = No. 225
Formation energy = -16 kJ per mole of atoms
DOS(E_F) = 12.9 states/eV/f.u.
E = -21.24 eV for the cell shown

a b c (Å): 5.4813 5.4813 5.4813
angles (deg): 60.00 60.00 60.00
Closest atoms and distances in Å follow each position.
Fractional positions:
Ce  0.2500  0.2500  0.2500  4 Sn 3.36, 4 Sm 3.36
Ce  0.7500  0.7500  0.7500  4 Sn 3.36, 4 Sm 3.36
Sm  0.0000  0.0000  0.0000  8 Ce 3.36
Sn  0.5000  0.5000  0.5000  8 Ce 3.36



- Among the records above, which one has the highest theoretical density?
  Cu2TcIr